VASP calculation (PBE) on a geometry-optimized CsPuPb4 structure. Values from VASP.

Computed properties:
Magnetic moment: 5.6 μB/cell
Symmetry: F-43m, No. 216
ΔH_f (0 K): 5.62 kJ per mole of atoms

Geometry as Quantum ESPRESSO input:
```
&SYSTEM
  ibrav = 0, nat = 6, ntyp = 3
/
ATOMIC_SPECIES
Cs 132.91 Cs.upf
Pu 244.00 Pu.upf
Pb 207.20 Pb.upf
ATOMIC_POSITIONS crystal
Cs 0.0000 0.0000 0.0000
Pu 0.2500 0.2500 0.2500
Pb 0.1293 0.6236 0.6236
Pb 0.6236 0.1293 0.6236
Pb 0.6236 0.6236 0.1293
Pb 0.6236 0.6236 0.6236
CELL_PARAMETERS angstrom
0.0000 4.7108 4.7108
4.7108 0.0000 4.7108
4.7108 4.7108 0.0000
```



VASP calculation (PBE) on a geometry-optimized Cs3Pu2PbS6 structure. Values from VASP.

Computed properties:
Magnetic moment: 9.0 μB/cell
Symmetry: C2/m, No. 12
Formation energy from raw total energies: -15.79 eV per formula unit

Geometry as Quantum ESPRESSO input:
```
&SYSTEM
  ibrav = 0, nat = 12, ntyp = 4
/
ATOMIC_SPECIES
Cs 132.91 Cs.upf
Pu 244.00 Pu.upf
Pb 207.20 Pb.upf
S 32.06 S.upf
ATOMIC_POSITIONS crystal
Cs 0.0000 0.0000 0.0000
Cs 0.3416 0.6584 0.0000
Cs 0.6584 0.3416 0.0000
Pu 0.1672 0.8328 0.5000
Pu 0.8328 0.1672 0.5000
Pb 0.5000 0.5000 0.5000
S 0.0785 0.4385 0.3158
S 0.2010 0.2010 0.6803
S 0.4385 0.0785 0.3158
S 0.5615 0.9215 0.6842
S 0.7990 0.7990 0.3197
S 0.9215 0.5615 0.6842
CELL_PARAMETERS angstrom
3.6576 -6.3271 0.0000
3.6576 6.3271 0.0000
-2.4302 0.0000 7.9977
```



VASP calculation (PBE) on a geometry-optimized Cs3PuPb2Se6 structure. Values from VASP.

Computed properties:
Magnetic moment: 3.0 μB/cell
Symmetry: C2/m, No. 12
Formation energy from raw total energies: -11.98 eV per formula unit

Geometry as Quantum ESPRESSO input:
```
&SYSTEM
  ibrav = 0, nat = 12, ntyp = 4
/
ATOMIC_SPECIES
Cs 132.91 Cs.upf
Pu 244.00 Pu.upf
Pb 207.20 Pb.upf
Se 78.96 Se.upf
ATOMIC_POSITIONS crystal
Cs 0.0000 0.0000 0.0000
Cs 0.3236 0.6764 0.0000
Cs 0.6764 0.3236 0.0000
Pu 0.5000 0.5000 0.5000
Pb 0.1653 0.8347 0.5000
Pb 0.8347 0.1653 0.5000
Se 0.1335 0.4381 0.3129
Se 0.2608 0.2608 0.6917
Se 0.4381 0.1335 0.3129
Se 0.5619 0.8665 0.6871
Se 0.7392 0.7392 0.3083
Se 0.8665 0.5619 0.6871
CELL_PARAMETERS angstrom
3.8628 -6.6726 0.0000
3.8628 6.6726 0.0000
-2.5499 0.0000 8.2335
```



VASP calculation (PBE) on a geometry-optimized CsPuPbSe3 structure. Values from VASP.

Computed properties:
Magnetic moment: 10.0 μB/cell
Symmetry: P2_1/m, No. 11
Formation energy from raw total energies: -6.65 eV per formula unit

Geometry as Quantum ESPRESSO input:
```
&SYSTEM
  ibrav = 0, nat = 12, ntyp = 4
/
ATOMIC_SPECIES
Cs 132.91 Cs.upf
Pu 244.00 Pu.upf
Pb 207.20 Pb.upf
Se 78.96 Se.upf
ATOMIC_POSITIONS crystal
Cs 0.2186 0.2500 0.2493
Cs 0.7814 0.7500 0.7507
Pu 0.3600 0.7500 0.8538
Pu 0.6400 0.2500 0.1462
Pb 0.1519 0.2500 0.5758
Pb 0.8481 0.7500 0.4242
Se 0.1312 0.2500 0.8070
Se 0.3576 0.7500 0.6017
Se 0.4227 0.7500 0.1071
Se 0.5773 0.2500 0.8929
Se 0.6424 0.2500 0.3983
Se 0.8688 0.7500 0.1930
CELL_PARAMETERS angstrom
9.2955 0.0000 0.0000
0.0000 4.3239 0.0000
-3.6136 0.0000 11.2012
```



VASP calculation (PBE) on a geometry-optimized Cs16RbPb12 structure. Values from VASP.

Computed properties:
Magnetic moment: 0.0 μB/cell
Symmetry: Cm, No. 8
ΔH_f (0 K): -11.23 kJ per mole of atoms

Geometry as Quantum ESPRESSO input:
```
&SYSTEM
  ibrav = 0, nat = 29, ntyp = 3
/
ATOMIC_SPECIES
Cs 132.91 Cs.upf
Rb 85.47 Rb.upf
Pb 207.20 Pb.upf
ATOMIC_POSITIONS crystal
Cs 0.0000 0.0000 0.0000
Cs 0.0006 0.2950 0.5537
Cs 0.0033 0.3088 0.0015
Cs 0.0051 0.0051 0.3117
Cs 0.2652 0.7104 0.7123
Cs 0.2950 0.0006 0.5537
Cs 0.2953 0.5497 0.9978
Cs 0.3088 0.0033 0.0015
Cs 0.4471 0.7399 0.4464
Cs 0.5497 0.2953 0.9978
Cs 0.5529 0.9992 0.2910
Cs 0.6915 0.6915 0.6904
Cs 0.7104 0.2652 0.7123
Cs 0.7116 0.7116 0.2623
Cs 0.7399 0.4471 0.4464
Cs 0.9992 0.5529 0.2910
Rb 0.4413 0.4413 0.7253
Pb 0.0002 0.6329 0.8458
Pb 0.0010 0.8446 0.6313
Pb 0.1521 0.7830 0.1535
Pb 0.1554 0.1554 0.7839
Pb 0.2149 0.3712 0.3709
Pb 0.3712 0.2149 0.3709
Pb 0.3728 0.3728 0.2174
Pb 0.6329 0.0002 0.8458
Pb 0.6366 0.8392 0.9986
Pb 0.7830 0.1521 0.1535
Pb 0.8392 0.6366 0.9986
Pb 0.8446 0.0010 0.6313
CELL_PARAMETERS angstrom
7.1731 -10.0757 0.0000
7.1731 10.0757 0.0000
-7.1367 0.0000 10.1661
```



VASP calculation (PBE) on a geometry-optimized CsRbPb structure. Values from VASP.

Computed properties:
Magnetic moment: 0.2 μB/cell
Symmetry: R3, No. 146
ΔH_f (0 K): 1.06 kJ per mole of atoms

Geometry as Quantum ESPRESSO input:
```
&SYSTEM
  ibrav = 0, nat = 9, ntyp = 3
/
ATOMIC_SPECIES
Cs 132.91 Cs.upf
Rb 85.47 Rb.upf
Pb 207.20 Pb.upf
ATOMIC_POSITIONS crystal
Cs 0.0049 0.3790 0.6160
Cs 0.3790 0.6160 0.0049
Cs 0.6160 0.0049 0.3790
Rb 0.0840 0.9180 0.4953
Rb 0.4953 0.0840 0.9180
Rb 0.9180 0.4953 0.0840
Pb 0.0643 0.0643 0.0643
Pb 0.4486 0.4486 0.4486
Pb 0.5582 0.5582 0.5582
CELL_PARAMETERS angstrom
4.4614 2.5758 8.6918
-4.4614 2.5758 8.6918
0.0000 -5.1515 8.6918
```



VASP calculation (PBE) on a geometry-optimized Cs4Rb5Pb2 structure. Values from VASP.

Computed properties:
Magnetic moment: 0.0 μB/cell
Symmetry: P2/m, No. 10
ΔH_f (0 K): -3.24 kJ per mole of atoms

Geometry as Quantum ESPRESSO input:
```
&SYSTEM
  ibrav = 0, nat = 11, ntyp = 3
/
ATOMIC_SPECIES
Cs 132.91 Cs.upf
Rb 85.47 Rb.upf
Pb 207.20 Pb.upf
ATOMIC_POSITIONS crystal
Cs 0.1673 0.0000 0.3096
Cs 0.1917 0.0000 0.9366
Cs 0.8083 0.0000 0.0634
Cs 0.8327 0.0000 0.6904
Rb 0.1509 0.5000 0.6568
Rb 0.4216 0.5000 0.1531
Rb 0.5000 0.5000 0.5000
Rb 0.5784 0.5000 0.8469
Rb 0.8491 0.5000 0.3432
Pb 0.0573 0.5000 0.1070
Pb 0.9427 0.5000 0.8930
CELL_PARAMETERS angstrom
11.3759 0.0000 0.0000
0.0000 5.8290 0.0000
-1.4187 0.0000 13.2793
```



VASP calculation (PBE) on a geometry-optimized Cs2Rb8Pb structure. Values from VASP.

Computed properties:
Magnetic moment: 0.0 μB/cell
Symmetry: C2/m, No. 12
ΔH_f (0 K): 0.05 kJ per mole of atoms

Geometry as Quantum ESPRESSO input:
```
&SYSTEM
  ibrav = 0, nat = 11, ntyp = 3
/
ATOMIC_SPECIES
Cs 132.91 Cs.upf
Rb 85.47 Rb.upf
Pb 207.20 Pb.upf
ATOMIC_POSITIONS crystal
Cs 0.1761 0.1761 0.1214
Cs 0.8239 0.8239 0.8786
Rb 0.0127 0.0127 0.7924
Rb 0.2068 0.2068 0.6151
Rb 0.3772 0.3772 0.1676
Rb 0.4164 0.4164 0.6535
Rb 0.5836 0.5836 0.3465
Rb 0.6228 0.6228 0.8324
Rb 0.7932 0.7932 0.3849
Rb 0.9873 0.9873 0.2076
Pb 0.5000 0.5000 0.0000
CELL_PARAMETERS angstrom
12.6866 -3.6519 0.0000
12.6866 3.6519 0.0000
-1.2447 0.0000 9.8190
```



VASP calculation (PBE) on a geometry-optimized Cs2Rb2Pb3 structure. Values from VASP.

Computed properties:
Magnetic moment: 0.0 μB/cell
Symmetry: C2/m, No. 12
ΔH_f (0 K): -10.79 kJ per mole of atoms

Geometry as Quantum ESPRESSO input:
```
&SYSTEM
  ibrav = 0, nat = 7, ntyp = 3
/
ATOMIC_SPECIES
Cs 132.91 Cs.upf
Rb 85.47 Rb.upf
Pb 207.20 Pb.upf
ATOMIC_POSITIONS crystal
Cs 0.1751 0.1751 0.0516
Cs 0.8249 0.8249 0.9484
Rb 0.1519 0.1519 0.5071
Rb 0.8481 0.8481 0.4929
Pb 0.4752 0.4752 0.8147
Pb 0.5000 0.5000 0.5000
Pb 0.5248 0.5248 0.1853
CELL_PARAMETERS angstrom
7.1896 -3.2816 0.0000
7.1896 3.2816 0.0000
-5.1739 0.0000 7.6017
```



VASP calculation (PBE) on a geometry-optimized Cs2RbPb3 structure. Values from VASP.

Computed properties:
Magnetic moment: 0.0 μB/cell
Symmetry: C2/c, No. 15
ΔH_f (0 K): -15.45 kJ per mole of atoms

Geometry as Quantum ESPRESSO input:
```
&SYSTEM
  ibrav = 0, nat = 12, ntyp = 3
/
ATOMIC_SPECIES
Cs 132.91 Cs.upf
Rb 85.47 Rb.upf
Pb 207.20 Pb.upf
ATOMIC_POSITIONS crystal
Cs 0.0800 0.2631 0.0829
Cs 0.2631 0.0800 0.5829
Cs 0.7369 0.9200 0.4171
Cs 0.9200 0.7369 0.9171
Rb 0.4019 0.5981 0.7500
Rb 0.5981 0.4019 0.2500
Pb 0.1588 0.5085 0.4145
Pb 0.1679 0.8321 0.2500
Pb 0.4915 0.8412 0.0855
Pb 0.5085 0.1588 0.9145
Pb 0.8321 0.1679 0.7500
Pb 0.8412 0.4915 0.5855
CELL_PARAMETERS angstrom
4.0793 -5.9887 0.0000
4.0793 5.9887 0.0000
-0.3442 0.0000 11.6725
```



VASP calculation (PBE) on a geometry-optimized Cs5RbPb structure. Values from VASP.

Computed properties:
Magnetic moment: 0.0 μB/cell
Symmetry: C2/c, No. 15
ΔH_f (0 K): 1.44 kJ per mole of atoms

Geometry as Quantum ESPRESSO input:
```
&SYSTEM
  ibrav = 0, nat = 14, ntyp = 3
/
ATOMIC_SPECIES
Cs 132.91 Cs.upf
Rb 85.47 Rb.upf
Pb 207.20 Pb.upf
ATOMIC_POSITIONS crystal
Cs 0.0501 0.9499 0.7500
Cs 0.0631 0.3970 0.6198
Cs 0.1909 0.5546 0.9424
Cs 0.3970 0.0631 0.1198
Cs 0.4454 0.8091 0.5576
Cs 0.5546 0.1909 0.4424
Cs 0.6030 0.9369 0.8802
Cs 0.8091 0.4454 0.0576
Cs 0.9369 0.6030 0.3802
Cs 0.9499 0.0501 0.2500
Rb 0.3788 0.6212 0.2500
Rb 0.6212 0.3788 0.7500
Pb 0.0000 0.0000 0.0000
Pb 0.0000 0.0000 0.5000
CELL_PARAMETERS angstrom
7.1894 -5.3715 0.0000
7.1894 5.3715 0.0000
-4.7684 0.0000 15.9114
```



VASP calculation (PBE) on a geometry-optimized CsRb2Pb2 structure. Values from VASP.

Computed properties:
Magnetic moment: 1.1 μB/cell
Symmetry: I4/mmm, No. 139
ΔH_f (0 K): 19.19 kJ per mole of atoms

Geometry as Quantum ESPRESSO input:
```
&SYSTEM
  ibrav = 0, nat = 5, ntyp = 3
/
ATOMIC_SPECIES
Cs 132.91 Cs.upf
Rb 85.47 Rb.upf
Pb 207.20 Pb.upf
ATOMIC_POSITIONS crystal
Cs 0.0000 0.0000 0.0000
Rb 0.3760 0.3760 0.0000
Rb 0.6240 0.6240 0.0000
Pb 0.2500 0.7500 0.5000
Pb 0.7500 0.2500 0.5000
CELL_PARAMETERS angstrom
-3.0781 3.0781 7.2332
3.0781 -3.0781 7.2332
3.0781 3.0781 -7.2332
```